Entry 1:
# Tm3PPbO

An optimized crystal structure of Tm3PPbO (PBE-GGA, the Alexandria database).

a b c (Å): 3.9199 8.7457 8.8048
angles (deg): 104.03 90.00 90.00
Closest atoms and distances in Å follow each position.
Fractional coordinates of all 12 atoms:
Tm 0.2500 0.8375 0.4797  3 O 2.18-2.22
Tm 0.7500 0.8780 0.1493  1 O 2.19
Tm 0.7500 0.4348 0.1570  3 P 2.74
Tm 0.7500 0.1625 0.5203  3 O 2.18-2.22
Tm 0.2500 0.5652 0.8430  3 P 2.74
Tm 0.2500 0.1220 0.8507  1 O 2.19
P 0.2500 0.6556 0.1633  6 Tm 2.74-2.85
P 0.7500 0.3444 0.8367  6 Tm 2.74-2.85
Pb 0.7500 0.8159 0.7731  7 Tm 3.11-3.28
Pb 0.2500 0.1841 0.2269  7 Tm 3.11-3.28
O 0.2500 0.0882 0.5955  4 Tm 2.18-2.22
O 0.7500 0.9118 0.4045  4 Tm 2.18-2.22

D(E_F)	4.4	states/eV/cell
formation energy (no corrections)	-1.68	eV per atom
VASP energy	-75.10	eV/cell
space group	No. 11
calculated density	8.63	g cm⁻³
crystal system	monoclinic

=====

Entry 2:
# TmP2PbO8

An optimized crystal structure of TmP2PbO8 (PBE-GGA, the Alexandria database).

a b c (Å): 5.3928 5.3928 7.3323
angles (deg): 90.00 90.00 120.00
Closest atoms and distances in Å follow each position.
Fractional coordinates of all 12 atoms:
Tm 0.0000 0.0000 0.5000  6 O 2.20
P 0.6667 0.3333 0.2322  4 O 1.55
P 0.3333 0.6667 0.7678  4 O 1.55
Pb 0.0000 0.0000 0.0000  6 O 2.77
O 0.3333 0.6667 0.9789  1 P 1.55
O 0.3542 0.1789 0.3025  1 P 1.55
O 0.8211 0.1753 0.3025  1 P 1.55
O 0.6667 0.3333 0.0211  1 P 1.55
O 0.1789 0.8247 0.6975  1 P 1.55
O 0.6458 0.8211 0.6975  1 P 1.55
O 0.1753 0.3542 0.6975  1 P 1.55
O 0.8247 0.6458 0.3025  1 P 1.55

D(E_F)	8.8	states/eV/cell
formation energy (no corrections)	-2.31	eV per atom
VASP energy	-86.41	eV/cell
space group	No. 147
calculated density	5.09	g cm⁻³
crystal system	trigonal